Here is a relaxed structure of BaFe2P2O8 from the Alexandria database. Energies are from PBE with a Hubbard U.

Structure (CIF):
```
data_BaFe2P2O8
_cell_length_a 4.942
_cell_length_b 4.942
_cell_length_c 16.182
_cell_angle_alpha 81.38
_cell_angle_beta 89.89
_cell_angle_gamma 60.07
_symmetry_space_group_name_H-M 'P 1'
_symmetry_Int_Tables_number 1
loop_
_symmetry_equiv_pos_as_xyz
'x,y,z'
loop_
_atom_site_label
_atom_site_type_symbol
_atom_site_fract_x
_atom_site_fract_y
_atom_site_fract_z
Ba1 Ba 0.000 0.000 0.000
Ba2 Ba 0.490 0.993 0.500
Fe1 Fe 0.090 0.821 0.255
Fe2 Fe 0.407 0.171 0.245
Fe3 Fe 0.575 0.836 0.755
Fe4 Fe 0.912 0.162 0.745
P1 P 0.199 0.571 0.638
P2 P 0.281 0.428 0.862
P3 P 0.713 0.578 0.138
P4 P 0.785 0.420 0.362
O1 O 0.019 0.252 0.170
O2 O 0.081 0.432 0.332
O3 O 0.173 0.630 0.542
O4 O 0.218 0.847 0.670
O5 O 0.251 0.157 0.831
O6 O 0.324 0.362 0.958
O7 O 0.417 0.572 0.171
O8 O 0.484 0.751 0.331
O9 O 0.501 0.244 0.671
O10 O 0.572 0.440 0.826
O11 O 0.682 0.638 0.042
O12 O 0.737 0.851 0.170
O13 O 0.762 0.153 0.326
O14 O 0.812 0.348 0.458
O15 O 0.902 0.565 0.670
O16 O 0.973 0.753 0.832
```

Results
The value obtained for the density of states at the Fermi level is 0.0 states/eV per cell. The value obtained for the total DFT energy (no corrections) is -186.7 eV/cell.